This record from the Alexandria database describes a geometry-optimized Pm3Dy2Tm3 structure. The functional is GGA-PBE.

abc: 8.4512 8.4512 5.9239
angles: 110.46 110.46 40.97
Positions (direct):
Pm: 0.0000 0.0000 0.0000
Pm: 0.1279 0.1279 0.6282
Pm: 0.8721 0.8721 0.3718
Dy: 0.2520 0.2520 0.2525
Dy: 0.7480 0.7480 0.7475
Tm: 0.3759 0.3759 0.8763
Tm: 0.5000 0.5000 0.5000
Tm: 0.6241 0.6241 0.1237

This record from the Alexandria database describes a geometry-optimized PmTm3 structure. The functional is GGA-PBE.

abc: 7.1753 7.1753 5.6298
angles: 90.00 90.00 120.00
Positions (direct):
Pm: 0.3333 0.6667 0.2500
Pm: 0.6667 0.3333 0.7500
Tm: 0.1655 0.3310 0.7500
Tm: 0.1655 0.8345 0.7500
Tm: 0.3310 0.1655 0.2500
Tm: 0.6690 0.8345 0.7500
Tm: 0.8345 0.1655 0.2500
Tm: 0.8345 0.6690 0.2500

Number 1: formation enthalpy at 0 K 1.03 eV per formula unit. Number 2: formation enthalpy at 0 K 0.03 eV per formula unit.